Record 1
Here is a relaxed DyCo4P4 crystal from Alexandria. Energies are from PBE.

Unit cell a=5.667 b=5.667 c=7.284 alpha=90.00 beta=90.00 gamma=90.00
Element x y z (fractional)
Dy  0.250  0.750  0.250
Dy  0.750  0.250  0.750
Co  0.026  0.250  0.130
Co  0.250  0.026  0.630
Co  0.250  0.474  0.630
Co  0.474  0.250  0.130
Co  0.526  0.750  0.870
Co  0.750  0.526  0.370
Co  0.750  0.974  0.370
Co  0.974  0.750  0.870
P  0.033  0.250  0.431
P  0.250  0.033  0.931
P  0.250  0.467  0.931
P  0.467  0.250  0.431
P  0.533  0.750  0.569
P  0.750  0.533  0.069
P  0.750  0.967  0.069
P  0.967  0.750  0.569

Output
Space group = No. 137
Formation energy = -0.632 eV per atom

***

Record 2
Here is a relaxed DyCo4P2 crystal from Alexandria. Energies are from PBE.

Unit cell a=7.062 b=7.062 c=3.538 alpha=90.00 beta=90.00 gamma=90.00
Element x y z (fractional)
Dy  0.000  0.000  0.000
Dy  0.500  0.500  0.500
Co  0.080  0.339  0.500
Co  0.161  0.580  0.000
Co  0.339  0.080  0.500
Co  0.420  0.839  0.000
Co  0.580  0.161  0.000
Co  0.661  0.920  0.500
Co  0.839  0.420  0.000
Co  0.920  0.661  0.500
P  0.224  0.776  0.500
P  0.276  0.276  0.000
P  0.724  0.724  0.000
P  0.776  0.224  0.500

Output
Space group = No. 136
Formation energy = -0.752 eV per atom

***

Number 1: magnetization 0.0000 μB/atom, total energy -6.7057 eV per atom. Number 2: magnetization 0.1829 μB/atom, total energy -7.0152 eV per atom.